Entry 1:
Material: Na2InB
Method: DFT, PBE
State: optimized geometry

The calculation puts the formation energy at 0.85 eV per atom. The calculation puts the density of states at the Fermi level at 0.596 states/eV per atom. Its energy above the lowest structure with this stoichiometry is 0 meV/atom. The final energy comes out at -2.16 eV/atom.

The space group is Fm-3m (No. 225) and the conventional cell measures 6.966, 6.966 and 6.966 Å, with angles of 90.00, 90.00 and 90.00 degrees. The inequivalent atoms are Na at (0.250, 0.250, 0.250), In at (0.000, 0.000, 0.000) and B at (0.000, 0.000, 0.500).

Entry 2:
Material: Na2InB2
Method: DFT, PBE
State: optimized geometry

The calculation puts the formation energy at 0.53 eV per atom. The calculation puts the density of states at the Fermi level at 0.346 states/eV per atom. Its energy above the lowest structure with this stoichiometry is 0 meV/atom. The final energy comes out at -3.21 eV/atom.

The space group is P4/mbm (No. 127) and the conventional cell measures 6.056, 6.056 and 4.574 Å, with angles of 90.00, 90.00 and 90.00 degrees. The inequivalent atoms are Na at (0.179, 0.321, 0.000), In at (0.000, 0.000, 0.500) and B at (0.094, 0.594, 0.500).